{
  "formula": "Zn2Te",
  "functional": "GGA-PBE",
  "state": "relaxed",
  "cell": [[3.2369, 0.0000, 0.0000], [-1.6184, 2.8032, 0.0000], [0.0000, 0.0000, 23.0514]],
  "species": ["Zn", "Zn", "Zn", "Zn", "Zn", "Zn", "Te", "Te", "Te"],
  "frac_coords": [[0.0000, 0.0000, 0.0534], [0.0000, 0.0000, 0.9466], [0.3333, 0.6667, 0.6103], [0.3333, 0.6667, 0.7184], [0.6667, 0.3333, 0.2816], [0.6667, 0.3333, 0.3897], [0.0000, 0.0000, 0.5000], [0.3333, 0.6667, 0.8422], [0.6667, 0.3333, 0.1578]],
  "raw_formation_energy_ev_per_fu": 1.0,
  "density_g_cm3": 6.155,
  "spacegroup": "P-3m1",
  "e_above_lowest_polymorph_mev_per_atom": 447
}